# 1
Mg2TcPb after structural relaxation. Source: the Alexandria database, functional PBEsol.

The structure in extended XYZ format:
```
4
Lattice="1.556 0.898 9.613 -1.556 0.898 9.613 0.000 -1.796 9.613" Properties=species:S:1:pos:R:3 pbc="T T T"
Mg 0.000 0.000 6.895
Mg 0.000 0.000 21.945
Tc 0.000 0.000 14.420
Pb 0.000 0.000 0.000
```

Calculated values
- DFT total energy (eV/atom) = -4.30
- symmetry = No. 166
- DFT formation energy (kJ/mol of formula units) = 143

# 2
Mg2TcPb after structural relaxation. Source: the Alexandria database, functional PBEsol.

The structure in extended XYZ format:
```
4
Lattice="2.864 -4.486 0.000 2.864 4.486 0.000 -0.289 0.000 2.954" Properties=species:S:1:pos:R:3 pbc="T T T"
Mg 1.432 2.243 0.000
Mg 1.432 -2.243 0.000
Tc -0.145 0.000 1.477
Pb 2.719 0.000 1.477
```

Calculated values
- DFT total energy (eV/atom) = -4.30
- symmetry = No. 12
- DFT formation energy (kJ/mol of formula units) = 145

# 3
MgTe2Pb after structural relaxation. Source: the Alexandria database, functional PBEsol.

The structure in extended XYZ format:
```
4
Lattice="2.183 1.260 7.185 -2.183 1.260 7.185 0.000 -2.520 7.185" Properties=species:S:1:pos:R:3 pbc="T T T"
Mg 0.000 0.000 0.000
Te 0.000 0.000 5.583
Te 0.000 0.000 15.971
Pb 0.000 0.000 10.777
```

Calculated values
- DFT total energy (eV/atom) = -3.77
- E_form (uncorrected) (meV/atom) = -581
- symmetry = No. 166

# 4
Mg2TePb after structural relaxation. Source: the Alexandria database, functional PBEsol.

The structure in extended XYZ format:
```
4
Lattice="3.270 -4.040 0.000 3.270 4.040 0.000 0.000 0.000 3.813" Properties=species:S:1:pos:R:3 pbc="T T T"
Mg 1.635 2.020 0.000
Mg 1.635 -2.020 0.000
Te 0.000 0.000 1.907
Pb 3.270 0.000 1.907
```

Calculated values
- DFT total energy (eV/atom) = -2.94
- E_form (uncorrected) (meV/atom) = -204
- polymorph energy (0 for the lowest one) (meV per atom) = 151
- symmetry = No. 65

# 5
Mg3TePb after structural relaxation. Source: the Alexandria database, functional PBEsol.

The structure in extended XYZ format:
```
5
Lattice="5.367 0.000 0.000 0.000 5.367 0.000 0.000 0.000 5.367" Properties=species:S:1:pos:R:3 pbc="T T T"
Mg 0.000 0.000 2.684
Mg 0.000 2.684 0.000
Mg 2.684 0.000 0.000
Te 0.000 0.000 0.000
Pb 2.684 2.684 2.684
```

Calculated values
- DFT total energy (eV/atom) = -2.28
- E_form (uncorrected) (meV/atom) = 251
- symmetry = No. 221

# 6
Mg2TePb after structural relaxation. Source: the Alexandria database, functional PBEsol.

The structure in extended XYZ format:
```
4
Lattice="1.969 1.137 7.907 -1.969 1.137 7.907 0.000 -2.273 7.907" Properties=species:S:1:pos:R:3 pbc="T T T"
Mg 0.000 0.000 5.722
Mg 0.000 0.000 17.999
Te 0.000 0.000 11.860
Pb 0.000 0.000 0.000
```

Calculated values
- DFT total energy (eV/atom) = -3.09
- E_form (uncorrected) (meV/atom) = -355
- polymorph energy (0 for the lowest one) (meV per atom) = 0
- symmetry = No. 166

Number 1: Fermi-level density of states 3.0 states/eV/f.u.. Number 2: Fermi-level density of states 3.3 states/eV/f.u.. Number 3: Fermi-level density of states 0.0 states/eV/f.u.. Number 4: Fermi-level density of states 1.7 states/eV/f.u.. Number 5: Fermi-level density of states 3.8 states/eV/f.u.. Number 6: Fermi-level density of states 0.9 states/eV/f.u..